Rb2NaWO: relaxed, PBE+U.

Properties
**Symmetry**: No. 123
**Calculated total energy**: -2.680 eV/atom
**Calculated volume**: 178.4 Å³ per cell
**Total magnetic moment**: 5.03 μB/cell

```
5
Lattice="6.564 0.000 0.000 0.000 6.564 0.000 0.000 0.000 4.141" Properties=species:S:1:pos:R:3 pbc="T T T"
Rb 0.000 3.282 0.000
Rb 3.282 0.000 0.000
Na 0.000 0.000 0.000
W 3.282 3.282 2.070
O 0.000 0.000 2.070
```